VASP calculation (GGA-PBE) on CaB2PbS after structural relaxation.

The value obtained for the energy relative to the elements, uncorrected is 1.99 eV/atom. As for the density of states at the Fermi level: 1.068 states/eV per atom.

The structure belongs to space group P4/mmm (No. 123); the cell edges are 4.7033, 4.7033 and 6.3683 Å and the angles 90.00°, 90.00° and 90.00°. The inequivalent atoms are Ca at (0.0000, 0.0000, 0.0000), B at (0.0000, 0.5000, 0.0000), Pb at (0.0000, 0.0000, 0.5000) and S at (0.5000, 0.5000, 0.5000).